# CrHg2Mo

A crystal of CrHg2Mo relaxed with PBEsol (meta-GGA SCAN, Alexandria).

abc: 4.965 4.965 5.091
angles: 99.80 99.80 34.10
Fractional coordinates of all 4 atoms:
Cr  0.000  0.000  0.000
Hg  0.253  0.253  0.752
Hg  0.747  0.747  0.248
Mo  0.500  0.500  0.500

Output
* volume: 69.2 Å³ per cell
* crystal system: monoclinic
* DFT total energy: -1.7232 hartree per atom
* D(E_F): 0.641 states/eV per atom
* SG: C2/m, No. 12
* formation energy: 2.0 eV per formula unit